Below is an optimized crystal structure of Rb3Cd2SbO6, with properties calculated at the PBE-GGA level.

abc: 5.9640 5.9640 6.7061
angles: 98.33 98.33 120.16
With the nearest neighbours (Å) after each atom.
Fractional coordinates of all 12 atoms:
Rb (0.0000, 0.0000, 0.0000)  6 O 2.80-3.03
Rb (0.3257, 0.6743, 0.0000)  6 O 2.80-3.02
Rb (0.6743, 0.3257, 0.0000)  6 O 2.80-3.02
Cd (0.1659, 0.8341, 0.5000)  6 O 2.39-2.43
Cd (0.8341, 0.1659, 0.5000)  6 O 2.39-2.43
Sb (0.5000, 0.5000, 0.5000)  6 O 2.07
O (0.1505, 0.4396, 0.3246)  1 Sb 2.07
O (0.2726, 0.2726, 0.6818)  1 Sb 2.07
O (0.4396, 0.1505, 0.3246)  1 Sb 2.07
O (0.5604, 0.8495, 0.6754)  1 Sb 2.07
O (0.7274, 0.7274, 0.3182)  1 Sb 2.07
O (0.8495, 0.5604, 0.6754)  1 Sb 2.07

Output
- size of the total moment (μB per cell) = 0.00
- E_form (uncorrected) (meV/atom) = -1346
- crystal system = monoclinic
- Fermi-level density of states (states/eV/f.u.) = 0.000
- total DFT energy (no corrections) (eV per cell) = -54.757
- space group = C2/m, No. 12